[1]
! Tb2HfPa2Co5 | the Alexandria database | GGA-PBE | relaxed; values from VASP
! symmetry: P4/mbm, No. 127
! energy of formation: -1.4 eV per formula unit
&SYSTEM
  ibrav = 0, nat = 20, ntyp = 4
/
ATOMIC_SPECIES
Co 58.93 Co.upf
Pa 231.04 Pa.upf
Hf 178.49 Hf.upf
Tb 158.93 Tb.upf
ATOMIC_POSITIONS crystal
Co 0.500 0.693 0.447
Co 0.500 0.447 0.307
Co 0.500 0.947 0.193
Co 0.500 0.193 0.053
Co 0.500 0.807 0.947
Co 0.500 0.000 0.500
Co 0.500 0.053 0.807
Co 0.500 0.500 0.000
Co 0.500 0.553 0.693
Co 0.500 0.307 0.553
Pa 0.000 0.638 0.862
Pa 0.000 0.862 0.362
Pa 0.000 0.362 0.138
Pa 0.000 0.138 0.638
Hf 0.000 0.000 0.000
Hf 0.000 0.500 0.500
Tb 0.000 0.670 0.170
Tb 0.000 0.830 0.670
Tb 0.000 0.330 0.830
Tb 0.000 0.170 0.330
CELL_PARAMETERS angstrom
3.386 0.000 0.000
0.000 10.319 0.000
0.000 0.000 10.319

---

[2]
! DyPuS3 | the Alexandria database | GGA-PBE | relaxed; values from VASP
! energy relative to the elements, uncorrected: -1.874 eV per atom
! symmetry: Pnma, No. 62
&SYSTEM
  ibrav = 0, nat = 20, ntyp = 3
/
ATOMIC_SPECIES
Dy 162.50 Dy.upf
S 32.06 S.upf
Pu 244.00 Pu.upf
ATOMIC_POSITIONS crystal
Dy 0.750 0.737 0.042
Dy 0.750 0.237 0.458
Dy 0.250 0.763 0.542
Dy 0.250 0.263 0.958
S 0.250 0.011 0.393
S 0.750 0.124 0.068
S 0.250 0.876 0.932
S 0.250 0.146 0.780
S 0.250 0.646 0.720
S 0.750 0.354 0.280
S 0.750 0.489 0.893
S 0.750 0.854 0.220
S 0.750 0.624 0.432
S 0.750 0.989 0.607
S 0.250 0.376 0.568
S 0.250 0.511 0.107
Pu 0.250 0.139 0.208
Pu 0.250 0.639 0.292
Pu 0.750 0.361 0.708
Pu 0.750 0.861 0.792
CELL_PARAMETERS angstrom
3.934 0.000 0.000
0.000 7.312 0.000
0.000 0.000 15.090

---

| no. | total DFT energy (no corrections) (eV/atom) | M_tot (μB per cell) |
| --- | --- | --- |
| 1 | -7.51 | 0.000 |
| 2 | -8.14 | 20.001 |